The following is a DFT calculation (PBE) of a relaxed structure of CeZn6Cu2.

## Properties
M_tot	0.67	Bohr magnetons per cell
calculated formation energy	-0.1408	eV per atom
space group	No. 123
density of states at the Fermi level	8.14	states/eV per cell

The structure in CIF format:
```
data_CeZn6Cu2
_chemical_formula_sum 'Ce1 Zn6 Cu2'
_symmetry_space_group_name_H-M 'P 1'
_symmetry_Int_Tables_number 1
_cell_length_a 4.1297
_cell_length_b 4.1297
_cell_length_c 8.7089
_cell_angle_alpha 90.00
_cell_angle_beta 90.00
_cell_angle_gamma 90.00
loop_
_symmetry_equiv_pos_as_xyz
'x,y,z'
loop_
_atom_site_label
_atom_site_fract_x
_atom_site_fract_y
_atom_site_fract_z
Ce1 0.0000 0.0000 0.0000
Zn1 0.0000 0.0000 0.5000
Zn2 0.0000 0.5000 0.2987
Zn3 0.0000 0.5000 0.7013
Zn4 0.5000 0.0000 0.2987
Zn5 0.5000 0.0000 0.7013
Zn6 0.5000 0.5000 0.5000
Cu1 0.5000 0.5000 0.1379
Cu2 0.5000 0.5000 0.8621
```

=====

The following is a DFT calculation (PBE) of a relaxed structure of Ce2Zn6Cu9.

## Properties
M_tot	1.81	Bohr magnetons per cell
calculated formation energy	-0.0416	eV per atom
space group	No. 191
density of states at the Fermi level	19.48	states/eV per cell

The structure in CIF format:
```
data_Ce2Zn6Cu9
_chemical_formula_sum 'Ce2 Zn6 Cu9'
_symmetry_space_group_name_H-M 'P 1'
_symmetry_Int_Tables_number 1
_cell_length_a 5.1904
_cell_length_b 5.1904
_cell_length_c 12.3124
_cell_angle_alpha 90.00
_cell_angle_beta 90.00
_cell_angle_gamma 120.00
loop_
_symmetry_equiv_pos_as_xyz
'x,y,z'
loop_
_atom_site_label
_atom_site_fract_x
_atom_site_fract_y
_atom_site_fract_z
Ce1 0.0000 0.0000 0.1772
Ce2 0.0000 0.0000 0.8228
Zn1 0.3333 0.6667 0.1651
Zn2 0.3333 0.6667 0.5000
Zn3 0.3333 0.6667 0.8349
Zn4 0.6667 0.3333 0.1651
Zn5 0.6667 0.3333 0.5000
Zn6 0.6667 0.3333 0.8349
Cu1 0.0000 0.5000 0.0000
Cu2 0.0000 0.5000 0.3339
Cu3 0.0000 0.5000 0.6661
Cu4 0.5000 0.0000 0.0000
Cu5 0.5000 0.0000 0.3339
Cu6 0.5000 0.0000 0.6661
Cu7 0.5000 0.5000 0.0000
Cu8 0.5000 0.5000 0.3339
Cu9 0.5000 0.5000 0.6661
```

=====

The following is a DFT calculation (PBE) of a relaxed structure of CeZn3Cu.

## Properties
excess energy over the best structure of this formula in the dataset	0	meV/atom
M_tot	3.15	Bohr magnetons per cell
calculated formation energy	-0.1824	eV per atom
space group	No. 62
density of states at the Fermi level	26.64	states/eV per cell

The structure in CIF format:
```
data_CeZn3Cu
_chemical_formula_sum 'Ce4 Zn12 Cu4'
_symmetry_space_group_name_H-M 'P 1'
_symmetry_Int_Tables_number 1
_cell_length_a 8.2891
_cell_length_b 4.2555
_cell_length_c 10.3542
_cell_angle_alpha 90.00
_cell_angle_beta 90.00
_cell_angle_gamma 90.00
loop_
_symmetry_equiv_pos_as_xyz
'x,y,z'
loop_
_atom_site_label
_atom_site_fract_x
_atom_site_fract_y
_atom_site_fract_z
Ce1 0.1908 0.2500 0.0013
Ce2 0.3092 0.7500 0.5013
Ce3 0.6908 0.2500 0.4987
Ce4 0.8092 0.7500 0.9987
Zn1 0.0691 0.2500 0.3953
Zn2 0.1108 0.7500 0.2142
Zn3 0.1329 0.7500 0.7908
Zn4 0.3671 0.2500 0.2908
Zn5 0.3892 0.2500 0.7142
Zn6 0.4309 0.7500 0.8953
Zn7 0.5691 0.2500 0.1047
Zn8 0.6108 0.7500 0.2858
Zn9 0.6329 0.7500 0.7092
Zn10 0.8671 0.2500 0.2092
Zn11 0.8892 0.2500 0.7858
Zn12 0.9309 0.7500 0.6047
Cu1 0.1107 0.2500 0.6354
Cu2 0.3893 0.7500 0.1354
Cu3 0.6107 0.2500 0.8646
Cu4 0.8893 0.7500 0.3646
```

=====

The following is a DFT calculation (PBE) of a relaxed structure of Ce5Zn2Cu12.

## Properties
M_tot	3.85	Bohr magnetons per cell
calculated formation energy	-0.0685	eV per atom
space group	No. 12
density of states at the Fermi level	27.40	states/eV per cell

The structure in CIF format:
```
data_Ce5Zn2Cu12
_chemical_formula_sum 'Ce5 Zn2 Cu12'
_symmetry_space_group_name_H-M 'P 1'
_symmetry_Int_Tables_number 1
_cell_length_a 8.4618
_cell_length_b 8.4618
_cell_length_c 6.2947
_cell_angle_alpha 91.25
_cell_angle_beta 91.25
_cell_angle_gamma 46.74
loop_
_symmetry_equiv_pos_as_xyz
'x,y,z'
loop_
_atom_site_label
_atom_site_fract_x
_atom_site_fract_y
_atom_site_fract_z
Ce1 0.0000 0.0000 0.0000
Ce2 0.2472 0.2472 0.9105
Ce3 0.3018 0.3018 0.4724
Ce4 0.6982 0.6982 0.5276
Ce5 0.7528 0.7528 0.0895
Zn1 0.2820 0.7180 0.5000
Zn2 0.7180 0.2820 0.5000
Cu1 0.0508 0.6781 0.7538
Cu2 0.1075 0.1075 0.5872
Cu3 0.2116 0.5883 0.1532
Cu4 0.3219 0.9492 0.2462
Cu5 0.4117 0.7884 0.8468
Cu6 0.4531 0.4531 0.8248
Cu7 0.5469 0.5469 0.1752
Cu8 0.5883 0.2116 0.1532
Cu9 0.6781 0.0508 0.7538
Cu10 0.7884 0.4117 0.8468
Cu11 0.8925 0.8925 0.4128
Cu12 0.9492 0.3219 0.2462
```

=====

The following is a DFT calculation (PBE) of a relaxed structure of CeZnCu.

## Properties
M_tot	1.83	Bohr magnetons per cell
calculated formation energy	-0.0522	eV per atom
space group	No. 216
density of states at the Fermi level	24.65	states/eV per cell

The structure in CIF format:
```
data_CeZnCu
_chemical_formula_sum 'Ce4 Zn4 Cu4'
_symmetry_space_group_name_H-M 'P 1'
_symmetry_Int_Tables_number 1
_cell_length_a 6.4159
_cell_length_b 6.4159
_cell_length_c 6.4159
_cell_angle_alpha 90.00
_cell_angle_beta 90.00
_cell_angle_gamma 90.00
loop_
_symmetry_equiv_pos_as_xyz
'x,y,z'
loop_
_atom_site_label
_atom_site_fract_x
_atom_site_fract_y
_atom_site_fract_z
Ce1 0.0000 0.0000 0.0000
Ce2 0.0000 0.5000 0.5000
Ce3 0.5000 0.0000 0.5000
Ce4 0.5000 0.5000 0.0000
Zn1 0.0000 0.0000 0.5000
Zn2 0.0000 0.5000 0.0000
Zn3 0.5000 0.0000 0.0000
Zn4 0.5000 0.5000 0.5000
Cu1 0.2500 0.2500 0.7500
Cu2 0.2500 0.7500 0.2500
Cu3 0.7500 0.2500 0.2500
Cu4 0.7500 0.7500 0.7500
```

=====

The following is a DFT calculation (PBE) of a relaxed structure of CeZn9Cu2.

## Properties
excess energy over the best structure of this formula in the dataset	111	meV/atom
M_tot	0.55	Bohr magnetons per cell
calculated formation energy	-0.1102	eV per atom
space group	No. 191
density of states at the Fermi level	5.53	states/eV per cell

The structure in CIF format:
```
data_CeZn9Cu2
_chemical_formula_sum 'Ce1 Zn9 Cu2'
_symmetry_space_group_name_H-M 'P 1'
_symmetry_Int_Tables_number 1
_cell_length_a 8.5513
_cell_length_b 8.5513
_cell_length_c 3.0041
_cell_angle_alpha 90.00
_cell_angle_beta 90.00
_cell_angle_gamma 120.00
loop_
_symmetry_equiv_pos_as_xyz
'x,y,z'
loop_
_atom_site_label
_atom_site_fract_x
_atom_site_fract_y
_atom_site_fract_z
Ce1 0.0000 0.0000 0.0000
Zn1 0.0000 0.5000 0.0000
Zn2 0.1888 0.3775 0.5000
Zn3 0.1888 0.8112 0.5000
Zn4 0.3775 0.1888 0.5000
Zn5 0.5000 0.0000 0.0000
Zn6 0.5000 0.5000 0.0000
Zn7 0.6225 0.8112 0.5000
Zn8 0.8112 0.1888 0.5000
Zn9 0.8112 0.6225 0.5000
Cu1 0.3333 0.6667 0.0000
Cu2 0.6667 0.3333 0.0000
```

=====

The following is a DFT calculation (PBE) of a relaxed structure of CeZn9Cu2.

## Properties
excess energy over the best structure of this formula in the dataset	0	meV/atom
M_tot	1.62	Bohr magnetons per cell
calculated formation energy	-0.2212	eV per atom
space group	No. 141
density of states at the Fermi level	16.86	states/eV per cell

The structure in CIF format:
```
data_CeZn9Cu2
_chemical_formula_sum 'Ce2 Zn18 Cu4'
_symmetry_space_group_name_H-M 'P 1'
_symmetry_Int_Tables_number 1
_cell_length_a 8.1763
_cell_length_b 8.1763
_cell_length_c 8.1763
_cell_angle_alpha 99.83
_cell_angle_beta 99.83
_cell_angle_gamma 131.19
loop_
_symmetry_equiv_pos_as_xyz
'x,y,z'
loop_
_atom_site_label
_atom_site_fract_x
_atom_site_fract_y
_atom_site_fract_z
Ce1 0.3750 0.6250 0.7500
Ce2 0.6250 0.3750 0.2500
Zn1 0.1250 0.8750 0.2500
Zn2 0.1369 0.5611 0.3325
Zn3 0.1369 0.8044 0.5757
Zn4 0.1956 0.2714 0.3325
Zn5 0.1956 0.8631 0.9243
Zn6 0.2714 0.1956 0.8325
Zn7 0.2714 0.4389 0.0757
Zn8 0.4389 0.2714 0.5757
Zn9 0.4389 0.8631 0.1675
Zn10 0.5611 0.1369 0.8325
Zn11 0.5611 0.7286 0.4243
Zn12 0.7286 0.5611 0.9243
Zn13 0.7286 0.8044 0.1675
Zn14 0.8044 0.1369 0.0757
Zn15 0.8044 0.7286 0.6675
Zn16 0.8631 0.1956 0.4243
Zn17 0.8631 0.4389 0.6675
Zn18 0.8750 0.1250 0.7500
Cu1 0.0000 0.0000 0.0000
Cu2 0.0000 0.0000 0.5000
Cu3 0.0000 0.5000 0.0000
Cu4 0.5000 0.0000 0.5000
```

=====

The following is a DFT calculation (PBE) of a relaxed structure of Ce3Zn7Cu2.

## Properties
M_tot	0.59	Bohr magnetons per cell
calculated formation energy	-0.2408	eV per atom
space group	No. 166
density of states at the Fermi level	16.59	states/eV per cell

The structure in CIF format:
```
data_Ce3Zn7Cu2
_chemical_formula_sum 'Ce3 Zn7 Cu2'
_symmetry_space_group_name_H-M 'P 1'
_symmetry_Int_Tables_number 1
_cell_length_a 9.3141
_cell_length_b 9.3141
_cell_length_c 9.3141
_cell_angle_alpha 33.40
_cell_angle_beta 33.40
_cell_angle_gamma 33.40
loop_
_symmetry_equiv_pos_as_xyz
'x,y,z'
loop_
_atom_site_label
_atom_site_fract_x
_atom_site_fract_y
_atom_site_fract_z
Ce1 0.0000 0.0000 0.0000
Ce2 0.1500 0.1500 0.1500
Ce3 0.8500 0.8500 0.8500
Zn1 0.0758 0.5797 0.5797
Zn2 0.4203 0.4203 0.9242
Zn3 0.4203 0.9242 0.4203
Zn4 0.5000 0.5000 0.5000
Zn5 0.5797 0.0758 0.5797
Zn6 0.5797 0.5797 0.0758
Zn7 0.9242 0.4203 0.4203
Cu1 0.3347 0.3347 0.3347
Cu2 0.6653 0.6653 0.6653
```

=====

The following is a DFT calculation (PBE) of a relaxed structure of Ce2Zn16Cu.

## Properties
M_tot	1.45	Bohr magnetons per cell
calculated formation energy	-0.2175	eV per atom
space group	No. 160
density of states at the Fermi level	15.93	states/eV per cell

The structure in CIF format:
```
data_Ce2Zn16Cu
_chemical_formula_sum 'Ce2 Zn16 Cu1'
_symmetry_space_group_name_H-M 'P 1'
_symmetry_Int_Tables_number 1
_cell_length_a 6.8267
_cell_length_b 6.8267
_cell_length_c 6.8267
_cell_angle_alpha 82.61
_cell_angle_beta 82.61
_cell_angle_gamma 82.61
loop_
_symmetry_equiv_pos_as_xyz
'x,y,z'
loop_
_atom_site_label
_atom_site_fract_x
_atom_site_fract_y
_atom_site_fract_z
Ce1 0.0000 0.0000 0.0000
Ce2 0.3258 0.3258 0.3258
Zn1 0.0136 0.0136 0.5067
Zn2 0.0136 0.5067 0.0136
Zn3 0.1580 0.6669 0.6669
Zn4 0.3117 0.3117 0.8230
Zn5 0.3117 0.8230 0.3117
Zn6 0.3737 0.6642 0.9548
Zn7 0.3737 0.9548 0.6642
Zn8 0.5067 0.0136 0.0136
Zn9 0.5648 0.5648 0.5648
Zn10 0.6642 0.3737 0.9548
Zn11 0.6642 0.9548 0.3737
Zn12 0.6669 0.1580 0.6669
Zn13 0.6669 0.6669 0.1580
Zn14 0.8230 0.3117 0.3117
Zn15 0.9548 0.3737 0.6642
Zn16 0.9548 0.6642 0.3737
Cu1 0.7630 0.7630 0.7630
```

=====

The following is a DFT calculation (PBE) of a relaxed structure of CeZn12Cu6.

## Properties
M_tot	1.14	Bohr magnetons per cell
calculated formation energy	-0.0544	eV per atom
space group	No. 166
density of states at the Fermi level	11.51	states/eV per cell

The structure in CIF format:
```
data_CeZn12Cu6
_chemical_formula_sum 'Ce1 Zn12 Cu6'
_symmetry_space_group_name_H-M 'P 1'
_symmetry_Int_Tables_number 1
_cell_length_a 6.9611
_cell_length_b 6.9611
_cell_length_c 6.9611
_cell_angle_alpha 104.37
_cell_angle_beta 104.37
_cell_angle_gamma 104.37
loop_
_symmetry_equiv_pos_as_xyz
'x,y,z'
loop_
_atom_site_label
_atom_site_fract_x
_atom_site_fract_y
_atom_site_fract_z
Ce1 0.0000 0.0000 0.0000
Zn1 0.1133 0.5000 0.8867
Zn2 0.1133 0.8867 0.5000
Zn3 0.1433 0.4022 0.4022
Zn4 0.4022 0.1433 0.4022
Zn5 0.4022 0.4022 0.1433
Zn6 0.5000 0.1133 0.8867
Zn7 0.5000 0.8867 0.1133
Zn8 0.5978 0.5978 0.8567
Zn9 0.5978 0.8567 0.5978
Zn10 0.8567 0.5978 0.5978
Zn11 0.8867 0.1133 0.5000
Zn12 0.8867 0.5000 0.1133
Cu1 0.2776 0.2776 0.7038
Cu2 0.2776 0.7038 0.2776
Cu3 0.2962 0.7224 0.7224
Cu4 0.7038 0.2776 0.2776
Cu5 0.7224 0.2962 0.7224
Cu6 0.7224 0.7224 0.2962
```

=====

The following is a DFT calculation (PBE) of a relaxed structure of Ce3Zn3Cu8.

## Properties
M_tot	1.46	Bohr magnetons per cell
calculated formation energy	-0.1658	eV per atom
space group	No. 71
density of states at the Fermi level	18.86	states/eV per cell

The structure in CIF format:
```
data_Ce3Zn3Cu8
_chemical_formula_sum 'Ce3 Zn3 Cu8'
_symmetry_space_group_name_H-M 'P 1'
_symmetry_Int_Tables_number 1
_cell_length_a 8.0068
_cell_length_b 8.0068
_cell_length_c 8.0068
_cell_angle_alpha 149.00
_cell_angle_beta 114.29
_cell_angle_gamma 74.43
loop_
_symmetry_equiv_pos_as_xyz
'x,y,z'
loop_
_atom_site_label
_atom_site_fract_x
_atom_site_fract_y
_atom_site_fract_z
Ce1 0.0000 0.0000 0.0000
Ce2 0.2943 0.2943 0.0000
Ce3 0.7057 0.7057 0.0000
Zn1 0.3005 0.5000 0.8005
Zn2 0.5000 0.0000 0.5000
Zn3 0.6995 0.5000 0.1995
Cu1 0.0218 0.6671 0.3547
Cu2 0.1546 0.8692 0.2853
Cu3 0.3124 0.6671 0.6453
Cu4 0.4161 0.1308 0.2853
Cu5 0.5839 0.8692 0.7147
Cu6 0.6876 0.3329 0.3547
Cu7 0.8454 0.1308 0.7147
Cu8 0.9782 0.3329 0.6453
```

=====

The following is a DFT calculation (PBE) of a relaxed structure of CeZrZnCu.

## Properties
M_tot	7.46	Bohr magnetons per cell
calculated formation energy	-0.0410	eV per atom
space group	No. 216
density of states at the Fermi level	28.96	states/eV per cell

The structure in CIF format:
```
data_CeZrZnCu
_chemical_formula_sum 'Ce4 Zr4 Zn4 Cu4'
_symmetry_space_group_name_H-M 'P 1'
_symmetry_Int_Tables_number 1
_cell_length_a 6.9177
_cell_length_b 6.9177
_cell_length_c 6.9177
_cell_angle_alpha 90.00
_cell_angle_beta 90.00
_cell_angle_gamma 90.00
loop_
_symmetry_equiv_pos_as_xyz
'x,y,z'
loop_
_atom_site_label
_atom_site_fract_x
_atom_site_fract_y
_atom_site_fract_z
Ce1 0.0000 0.0000 0.0000
Ce2 0.0000 0.5000 0.5000
Ce3 0.5000 0.0000 0.5000
Ce4 0.5000 0.5000 0.0000
Zr1 0.0000 0.0000 0.5000
Zr2 0.0000 0.5000 0.0000
Zr3 0.5000 0.0000 0.0000
Zr4 0.5000 0.5000 0.5000
Zn1 0.2500 0.2500 0.2500
Zn2 0.2500 0.7500 0.7500
Zn3 0.7500 0.2500 0.7500
Zn4 0.7500 0.7500 0.2500
Cu1 0.2500 0.2500 0.7500
Cu2 0.2500 0.7500 0.2500
Cu3 0.7500 0.2500 0.2500
Cu4 0.7500 0.7500 0.7500
```